Entry 1:
Crystalline Tb2Dy4Te9 at its relaxed geometry, computed with GGA-PBE.

Calculated values
ρ   6487 kg/m³
SG   P-3c1 (165)
Total magnetic moment   0.00 Bohr magnetons per cell
ΔE_f (raw)   -1364.5 meV/atom
Volume   1083.40 Å³/cell

a b c (Å): 7.6988 7.6988 21.1064
angles (deg): 90.00 90.00 120.00
With the nearest neighbours (Å) after each atom.
Fractional positions:
Tb 0.0000 0.0000 0.1568  6 Te 3.08-3.12
Tb 0.0000 0.0000 0.3432  6 Te 3.08-3.12
Tb 0.0000 0.0000 0.6568  6 Te 3.08-3.12
Tb 0.0000 0.0000 0.8432  6 Te 3.08-3.12
Dy 0.3333 0.6667 0.1763  6 Te 3.06-3.11
Dy 0.3333 0.6667 0.4905  6 Te 3.06-3.11
Dy 0.3333 0.6667 0.6763  6 Te 3.06-3.11
Dy 0.3333 0.6667 0.9905  6 Te 3.06-3.11
Dy 0.6667 0.3333 0.0095  6 Te 3.06-3.11
Dy 0.6667 0.3333 0.3237  6 Te 3.06-3.11
Dy 0.6667 0.3333 0.5095  6 Te 3.06-3.11
Dy 0.6667 0.3333 0.8237  6 Te 3.06-3.11
Te 0.0000 0.3148 0.2500  2 Dy 3.06, 2 Tb 3.12
Te 0.0000 0.6852 0.7500  2 Dy 3.06, 2 Tb 3.12
Te 0.0193 0.3543 0.5834  3 Dy 3.06-3.11, 1 Tb 3.08
Te 0.0193 0.6650 0.0834  3 Dy 3.06-3.11, 1 Tb 3.08
Te 0.3148 0.0000 0.2500  2 Dy 3.06, 2 Tb 3.12
Te 0.3148 0.3148 0.7500  2 Dy 3.06, 2 Tb 3.12
Te 0.3350 0.3543 0.0834  3 Dy 3.06-3.11, 1 Tb 3.08
Te 0.3350 0.9807 0.5834  3 Dy 3.06-3.11, 1 Tb 3.08
Te 0.3543 0.0193 0.9166  3 Dy 3.06-3.11, 1 Tb 3.08
Te 0.3543 0.3350 0.4166  3 Dy 3.06-3.11, 1 Tb 3.08
Te 0.6457 0.6650 0.5834  3 Dy 3.06-3.11, 1 Tb 3.08
Te 0.6457 0.9807 0.0834  3 Dy 3.06-3.11, 1 Tb 3.08
Te 0.6650 0.0193 0.4166  3 Dy 3.06-3.11, 1 Tb 3.08
Te 0.6650 0.6457 0.9166  3 Dy 3.06-3.11, 1 Tb 3.08
Te 0.6852 0.0000 0.7500  2 Dy 3.06, 2 Tb 3.12
Te 0.6852 0.6852 0.2500  2 Dy 3.06, 2 Tb 3.12
Te 0.9807 0.3350 0.9166  3 Dy 3.06-3.11, 1 Tb 3.08
Te 0.9807 0.6457 0.4166  3 Dy 3.06-3.11, 1 Tb 3.08


Entry 2:
Crystalline Tb2Dy3Te6 at its relaxed geometry, computed with GGA-PBE.

Calculated values
ρ   7559 kg/m³
SG   C2/m (12)
Total magnetic moment   0.00 Bohr magnetons per cell
ΔE_f (raw)   -1400.3 meV/atom
Volume   345.08 Å³/cell

a b c (Å): 7.4991 7.4991 7.5007
angles (deg): 99.70 99.70 119.72
With the nearest neighbours (Å) after each atom.
Fractional positions:
Tb 0.1639 0.8361 0.0000  6 Te 3.06-3.09
Tb 0.8361 0.1639 0.0000  6 Te 3.06-3.09
Dy 0.0000 0.0000 0.5000  6 Te 3.06-3.15
Dy 0.3296 0.6704 0.5000  6 Te 3.06-3.12
Dy 0.6704 0.3296 0.5000  6 Te 3.06-3.12
Te 0.0974 0.4198 0.7565  3 Dy 3.06-3.12, 2 Tb 3.08-3.09
Te 0.2602 0.2602 0.2468  2 Tb 3.06, 3 Dy 3.07-3.15
Te 0.4198 0.0974 0.7565  3 Dy 3.06-3.12, 2 Tb 3.08-3.09
Te 0.5802 0.9026 0.2435  3 Dy 3.06-3.12, 2 Tb 3.08-3.09
Te 0.7398 0.7398 0.7532  2 Tb 3.06, 3 Dy 3.07-3.15
Te 0.9026 0.5802 0.2435  3 Dy 3.06-3.12, 2 Tb 3.08-3.09


Entry 3:
Crystalline TbDyTe2 at its relaxed geometry, computed with GGA-PBE.

Calculated values
ρ   8163 kg/m³
Energy above the lowest structure with this stoichiometry   0.581 kcal/mol of atoms
SG   R-3m (166)
Total magnetic moment   0.00 Bohr magnetons per cell
ΔE_f (raw)   -1294.5 meV/atom
Volume   117.30 Å³/cell

a b c (Å): 7.5129 7.5129 7.5129
angles (deg): 33.86 33.86 33.86
With the nearest neighbours (Å) after each atom.
Fractional positions:
Tb 0.0000 0.0000 0.0000  6 Te 3.09
Dy 0.5000 0.5000 0.5000  6 Te 3.08
Te 0.2494 0.2494 0.2494  3 Dy 3.08, 3 Tb 3.09
Te 0.7506 0.7506 0.7506  3 Dy 3.08, 3 Tb 3.09


Entry 4:
Crystalline TbDy3Te3 at its relaxed geometry, computed with GGA-PBE.

Calculated values
ρ   8295 kg/m³
SG   R-3 (148)
Total magnetic moment   0.00 Bohr magnetons per cell
ΔE_f (raw)   -1014.1 meV/atom
Volume   412.09 Å³/cell

a b c (Å): 7.8547 7.8547 7.8547
angles (deg): 69.73 69.73 69.73
With the nearest neighbours (Å) after each atom.
Fractional positions:
Tb 0.1893 0.1893 0.1893  6 Te 3.11-3.20
Tb 0.8107 0.8107 0.8107  6 Te 3.11-3.20
Dy 0.1673 0.6540 0.4227  5 Te 3.04-3.29
Dy 0.3460 0.5773 0.8327  5 Te 3.04-3.29
Dy 0.4227 0.1673 0.6540  5 Te 3.04-3.29
Dy 0.5773 0.8327 0.3460  5 Te 3.04-3.29
Dy 0.6540 0.4227 0.1673  5 Te 3.04-3.29
Dy 0.8327 0.3460 0.5773  5 Te 3.04-3.29
Te 0.0381 0.3972 0.8204  5 Dy 3.04-3.29, 2 Tb 3.11-3.20
Te 0.1796 0.9619 0.6028  5 Dy 3.04-3.29, 2 Tb 3.11-3.20
Te 0.3972 0.8204 0.0381  5 Dy 3.04-3.29, 2 Tb 3.11-3.20
Te 0.6028 0.1796 0.9619  5 Dy 3.04-3.29, 2 Tb 3.11-3.20
Te 0.8204 0.0381 0.3972  5 Dy 3.04-3.29, 2 Tb 3.11-3.20
Te 0.9619 0.6028 0.1796  5 Dy 3.04-3.29, 2 Tb 3.11-3.20


Entry 5:
Crystalline TbDy2Te4 at its relaxed geometry, computed with GGA-PBE.

Calculated values
ρ   6920 kg/m³
Energy above the lowest structure with this stoichiometry   0.000 kcal/mol of atoms
SG   C2/m (12)
Total magnetic moment   0.00 Bohr magnetons per cell
ΔE_f (raw)   -1385.8 meV/atom
Volume   238.61 Å³/cell

a b c (Å): 8.4446 8.4446 7.5704
angles (deg): 116.31 116.31 29.83
With the nearest neighbours (Å) after each atom.
Fractional positions:
Tb 0.0000 0.0000 0.0000  6 Te 3.08-3.12
Dy 0.2558 0.2558 0.2695  6 Te 3.05-3.15
Dy 0.7442 0.7442 0.7305  6 Te 3.05-3.15
Te 0.1212 0.1212 0.4533  3 Dy 3.05-3.09, 1 Tb 3.08
Te 0.3706 0.3706 0.0333  2 Tb 3.12, 3 Dy 3.13-3.15
Te 0.6294 0.6294 0.9667  2 Tb 3.12, 3 Dy 3.13-3.15
Te 0.8788 0.8788 0.5467  3 Dy 3.05-3.09, 1 Tb 3.08


Entry 6:
Crystalline TbDyTe at its relaxed geometry, computed with GGA-PBE.

Calculated values
ρ   8099 kg/m³
Energy above the lowest structure with this stoichiometry   7.465 kcal/mol of atoms
SG   P3m1 (156)
Total magnetic moment   0.00 Bohr magnetons per cell
ΔE_f (raw)   -480.1 meV/atom
Volume   92.07 Å³/cell

a b c (Å): 5.1568 5.1568 3.9979
angles (deg): 90.00 90.00 120.00
With the nearest neighbours (Å) after each atom.
Fractional positions:
Tb 0.0000 0.0000 0.0000  3 Te 3.15
Dy 0.3333 0.6667 0.5099  3 Te 3.12
Te 0.6667 0.3333 0.7454  3 Dy 3.12, 3 Tb 3.15